{
  "formula": "GdAl4Ag",
  "functional": "PBE",
  "state": "relaxed",
  "cell": [[-2.527, -1.824, -4.527], [-3.736, -4.014, 0.367], [-5.319, 1.114, -0.816]],
  "species": ["Gd", "Al", "Al", "Al", "Al", "Ag"],
  "fractional_positions": [[0.250, 0.250, 0.250], [0.624, 0.624, 0.128], [0.624, 0.128, 0.624], [0.624, 0.624, 0.624], [0.128, 0.624, 0.624], [0.000, 0.000, 0.000]],
  "vol_a3_per_cell": 117.4,
  "crystal_system": "cubic",
  "formation_enthalpy_0k_ev_per_atom": -0.15,
  "n_ef_per_ev_fu": 2.9
}